Record 1
# LiCo2P

Crystalline LiCo2P at its relaxed geometry (GGA-PBEsol, Alexandria).

```
data_LiCo2P
_space_group_name_H-M_alt 'I -4 m 2'
_space_group_IT_number 119
_space_group_name_Hall 'I -4 -2'
_cell_length_a 3.335
_cell_length_b 3.335
_cell_length_c 7.142
_cell_angle_alpha 90.00
_cell_angle_beta 90.00
_cell_angle_gamma 90.00
loop_
_atom_site_label
_atom_site_fract_x
_atom_site_fract_y
_atom_site_fract_z
_atom_site_occupancy
Li1 0.000 0.000 0.000 1
Co1 0.000 0.000 0.500 1
Co2 0.000 0.500 0.750 1
P1 0.000 0.500 0.250 1
```

Results
The calculated total energy comes out at -48.4 eV for the cell shown. The spin magnetization comes out at 1.19 μB/f.u. As for the density of states at the Fermi level: 1.09 states/eV/atom.



Record 2
# MnCu2Cl4

Crystalline MnCu2Cl4 at its relaxed geometry (GGA-PBEsol, Alexandria).

```
data_MnCu2Cl4
_space_group_name_H-M_alt 'A m m 2'
_space_group_IT_number 38
_cell_length_a 3.810
_cell_length_b 9.850
_cell_length_c 7.246
_cell_angle_alpha 90.00
_cell_angle_beta 90.00
_cell_angle_gamma 90.00
loop_
_space_group_symop_operation_xyz
'x,y,z'
'-x,-y,z'
'-x,y,z'
'x,-y,z'
'x,y+1/2,z+1/2'
'-x,-y+1/2,z+1/2'
'-x,y+1/2,z+1/2'
'x,-y+1/2,z+1/2'
loop_
_atom_site_label
_atom_site_fract_x
_atom_site_fract_y
_atom_site_fract_z
_atom_site_occupancy
Mn1 0.000 0.000 0.000 1
Cu1 0.500 0.134 0.499 1
Cl1 0.000 0.245 0.003 1
Cl2 0.500 0.000 0.234 1
Cl3 0.500 0.000 0.767 1
```

Results
The calculated total energy comes out at -61.5 eV for the cell shown. The spin magnetization comes out at 4.98 μB/f.u. As for the formation energy from raw total energies: -0.612 eV/atom.



Record 3
# LiBe2Re

Crystalline LiBe2Re at its relaxed geometry (GGA-PBEsol, Alexandria).

```
data_LiBe2Re
_space_group_name_H-M_alt 'P 1 2/m 1'
_space_group_IT_number 10
_cell_length_a 2.565
_cell_length_b 3.245
_cell_length_c 5.486
_cell_angle_alpha 90.00
_cell_angle_beta 90.70
_cell_angle_gamma 90.00
loop_
_space_group_symop_operation_xyz
'x,y,z'
'-x,-y,-z'
'-x,y,-z'
'x,-y,z'
loop_
_atom_site_label
_atom_site_fract_x
_atom_site_fract_y
_atom_site_fract_z
_atom_site_occupancy
Li1 0.000 0.000 0.000 1
Be1 0.496 0.500 0.273 1
Re1 0.000 0.000 0.500 1
```

Results
The calculated total energy comes out at -22.7 eV for the cell shown. The spin magnetization comes out at 0.00 μB/f.u. The value obtained for the energy above the most stable polymorph in this dataset is 0.0 meV per atom. As for the density of states at the Fermi level: 0.45 states/eV/atom.



Record 4
# Cr2FeAuCl

Crystalline Cr2FeAuCl at its relaxed geometry (GGA-PBEsol, Alexandria).

```
data_Cr2FeAuCl
_space_group_name_H-M_alt 'P 4/m m m'
_space_group_IT_number 123
_space_group_name_Hall '-P 4 2'
_cell_length_a 4.983
_cell_length_b 4.983
_cell_length_c 4.748
_cell_angle_alpha 90.00
_cell_angle_beta 90.00
_cell_angle_gamma 90.00
loop_
_atom_site_label
_atom_site_fract_x
_atom_site_fract_y
_atom_site_fract_z
_atom_site_occupancy
Cr1 0.000 0.500 0.000 1
Fe1 0.000 0.000 0.500 1
Au1 0.000 0.000 0.000 1
Cl1 0.500 0.500 0.500 1
```

Results
The calculated total energy comes out at -28.8 eV for the cell shown. The spin magnetization comes out at 12.10 μB/f.u. As for the density of states at the Fermi level: 1.19 states/eV/atom. As for the formation energy from raw total energies: 1.321 eV/atom.



Record 5
# Ba2MnCo

Crystalline Ba2MnCo at its relaxed geometry (GGA-PBEsol, Alexandria).

```
data_Ba2MnCo
_space_group_name_H-M_alt 'P 4/m m m'
_space_group_IT_number 123
_space_group_name_Hall '-P 4 2'
_cell_length_a 3.758
_cell_length_b 3.758
_cell_length_c 7.798
_cell_angle_alpha 90.00
_cell_angle_beta 90.00
_cell_angle_gamma 90.00
loop_
_atom_site_label
_atom_site_fract_x
_atom_site_fract_y
_atom_site_fract_z
_atom_site_occupancy
Ba1 0.000 0.000 0.229 1
Mn1 0.500 0.500 0.500 1
Co1 0.500 0.500 0.000 1
```

Results
The calculated total energy comes out at -18.5 eV for the cell shown. The spin magnetization comes out at 4.76 μB/f.u. The value obtained for the energy above the most stable polymorph in this dataset is 245.4 meV per atom. As for the density of states at the Fermi level: 1.07 states/eV/atom.



Record 6
# BaZrTa

Crystalline BaZrTa at its relaxed geometry (GGA-PBEsol, Alexandria).

```
data_BaZrTa
_space_group_name_H-M_alt 'F -4 3 m'
_space_group_IT_number 216
_space_group_name_Hall 'F -4 2 3'
_cell_length_a 6.978
_cell_length_b 6.978
_cell_length_c 6.978
_cell_angle_alpha 90.00
_cell_angle_beta 90.00
_cell_angle_gamma 90.00
loop_
_atom_site_label
_atom_site_fract_x
_atom_site_fract_y
_atom_site_fract_z
_atom_site_occupancy
Ba1 0.000 0.000 0.000 1
Zr1 0.000 0.000 0.500 1
Ta1 0.250 0.250 0.750 1
```

Results
The calculated total energy comes out at -78.2 eV for the cell shown. The spin magnetization comes out at 0.70 μB/f.u. As for the density of states at the Fermi level: 2.41 states/eV/atom.



Record 7
# BeAl2Sb

Crystalline BeAl2Sb at its relaxed geometry (GGA-PBEsol, Alexandria).

```
data_BeAl2Sb
_space_group_name_H-M_alt 'P 4 m m'
_space_group_IT_number 99
_cell_length_a 3.053
_cell_length_b 3.053
_cell_length_c 7.421
_cell_angle_alpha 90.00
_cell_angle_beta 90.00
_cell_angle_gamma 90.00
loop_
_space_group_symop_operation_xyz
'x,y,z'
'-y,x,z'
'-x,-y,z'
'y,-x,z'
'-x,y,z'
'y,x,z'
'x,-y,z'
'-y,-x,z'
loop_
_atom_site_label
_atom_site_fract_x
_atom_site_fract_y
_atom_site_fract_z
_atom_site_occupancy
Be1 0.000 0.000 0.000 1
Al1 0.000 0.000 0.570 1
Al2 0.500 0.500 0.817 1
Sb1 0.500 0.500 0.251 1
```

Results
The calculated total energy comes out at -15.4 eV for the cell shown. The spin magnetization comes out at 0.00 μB/f.u. The value obtained for the energy above the most stable polymorph in this dataset is 0.0 meV per atom. As for the density of states at the Fermi level: 0.46 states/eV/atom. As for the formation energy from raw total energies: 0.339 eV/atom.



Record 8
# SbTe3F

Crystalline SbTe3F at its relaxed geometry (GGA-PBEsol, Alexandria).

```
data_SbTe3F
_space_group_name_H-M_alt 'P m -3 m'
_space_group_IT_number 221
_space_group_name_Hall '-P 4 2 3'
_cell_length_a 5.626
_cell_length_b 5.626
_cell_length_c 5.626
_cell_angle_alpha 90.00
_cell_angle_beta 90.00
_cell_angle_gamma 90.00
loop_
_atom_site_label
_atom_site_fract_x
_atom_site_fract_y
_atom_site_fract_z
_atom_site_occupancy
Sb1 0.000 0.000 0.000 1
Te1 0.000 0.000 0.500 1
F1 0.500 0.500 0.500 1
```

Results
The calculated total energy comes out at -14.5 eV for the cell shown. The spin magnetization comes out at 0.00 μB/f.u. As for the density of states at the Fermi level: 1.51 states/eV/atom. As for the formation energy from raw total energies: 0.517 eV/atom.



Record 9
# Co5Rh

Crystalline Co5Rh at its relaxed geometry (GGA-PBEsol, Alexandria).

```
data_Co5Rh
_space_group_name_H-M_alt 'P 1 2/m 1'
_space_group_IT_number 10
_cell_length_a 4.305
_cell_length_b 2.521
_cell_length_c 6.093
_cell_angle_alpha 90.00
_cell_angle_beta 90.60
_cell_angle_gamma 90.00
loop_
_space_group_symop_operation_xyz
'x,y,z'
'-x,-y,-z'
'-x,y,-z'
'x,-y,z'
loop_
_atom_site_label
_atom_site_fract_x
_atom_site_fract_y
_atom_site_fract_z
_atom_site_occupancy
Co1 0.000 0.000 0.000 1
Co2 0.159 0.500 0.336 1
Co3 0.329 0.000 0.657 1
Rh1 0.500 0.500 0.000 1
```

Results
The calculated total energy comes out at -46.5 eV for the cell shown. The spin magnetization comes out at 8.66 μB/f.u. As for the density of states at the Fermi level: 1.29 states/eV/atom.



Record 10
# BaSrAl2

Crystalline BaSrAl2 at its relaxed geometry (GGA-PBEsol, Alexandria).

```
data_BaSrAl2
_space_group_name_H-M_alt 'I m m 2'
_space_group_IT_number 44
_cell_length_a 4.166
_cell_length_b 5.551
_cell_length_c 10.648
_cell_angle_alpha 90.00
_cell_angle_beta 90.00
_cell_angle_gamma 90.00
loop_
_space_group_symop_operation_xyz
'x,y,z'
'-x,-y,z'
'-x,y,z'
'x,-y,z'
'x+1/2,y+1/2,z+1/2'
'-x+1/2,-y+1/2,z+1/2'
'-x+1/2,y+1/2,z+1/2'
'x+1/2,-y+1/2,z+1/2'
loop_
_atom_site_label
_atom_site_fract_x
_atom_site_fract_y
_atom_site_fract_z
_atom_site_occupancy
Ba1 0.000 0.000 0.000 1
Sr1 0.000 0.500 0.807 1
Al1 0.000 0.000 0.580 1
Al2 0.000 0.500 0.230 1
```

Results
The calculated total energy comes out at -25.3 eV for the cell shown. The spin magnetization comes out at 0.00 μB/f.u. The value obtained for the energy above the most stable polymorph in this dataset is 3.2 meV per atom. As for the density of states at the Fermi level: 0.82 states/eV/atom.



Record 11
# Tb3Ga8Ir3

Crystalline Tb3Ga8Ir3 at its relaxed geometry (GGA-PBEsol, Alexandria).

```
data_Tb3Ga8Ir3
_space_group_name_H-M_alt 'I m m m'
_space_group_IT_number 71
_space_group_name_Hall '-I 2 2'
_cell_length_a 4.153
_cell_length_b 9.677
_cell_length_c 12.226
_cell_angle_alpha 90.00
_cell_angle_beta 90.00
_cell_angle_gamma 90.00
loop_
_atom_site_label
_atom_site_fract_x
_atom_site_fract_y
_atom_site_fract_z
_atom_site_occupancy
Tb1 0.000 0.000 0.000 1
Tb2 0.000 0.000 0.328 1
Ga1 0.000 0.284 0.124 1
Ga2 0.000 0.370 0.330 1
Ir1 0.000 0.220 0.500 1
Ir2 0.000 0.500 0.000 1
```

Results
The calculated total energy comes out at -162.1 eV for the cell shown. The spin magnetization comes out at 0.00 μB/f.u. As for the density of states at the Fermi level: 0.51 states/eV/atom.